Record 1
The following is a DFT calculation (PBE) of a geometry-optimized Tl2PbAu structure.

Properties
formation energy = 0.073 eV/atom

Cell: 5.677 5.677 3.547 Å, 90.00 90.00 106.30°
Sites, in units of the cell vectors:
Tl  0.000  0.000  0.000
Tl  0.500  0.500  0.000
Pb  0.000  0.500  0.500
Au  0.500  0.000  0.500

---

Record 2
The following is a DFT calculation (PBE) of a geometry-optimized HfReNiAu2 structure.

Properties
formation energy = 1.178 eV/atom

Cell: 4.981 4.383 4.981 Å, 90.00 90.00 90.00°
Sites, in units of the cell vectors:
Hf  0.500  0.500  0.500
Au  0.500  0.000  0.000
Au  0.000  0.000  0.500
Re  0.000  0.000  0.000
Ni  0.000  0.500  0.000

---

Record 3
The following is a DFT calculation (PBE) of a geometry-optimized Pm12Ga5Tc3 structure.

Properties
formation energy = 0.258 eV/atom

Cell: 14.816 14.816 14.816 Å, 109.47 109.47 109.47°
Sites, in units of the cell vectors:
Tc  0.250  0.125  0.375
Tc  0.375  0.750  0.625
Tc  0.875  0.125  0.250
Tc  0.750  0.375  0.125
Tc  0.625  0.250  0.375
Tc  0.125  0.250  0.875
Tc  0.250  0.625  0.875
Tc  0.375  0.625  0.250
Tc  0.875  0.750  0.125
Tc  0.125  0.875  0.750
Tc  0.750  0.875  0.625
Tc  0.625  0.375  0.750
Ga  0.625  0.875  0.250
Ga  0.375  0.125  0.750
Ga  0.375  0.250  0.125
Ga  0.500  0.500  0.500
Ga  0.250  0.375  0.625
Ga  0.750  0.125  0.875
Ga  0.500  0.000  0.500
Ga  0.875  0.625  0.750
Ga  0.500  0.000  0.000
Ga  0.000  0.000  0.500
Ga  0.000  0.000  0.000
Ga  0.625  0.750  0.875
Ga  0.125  0.750  0.375
Ga  0.250  0.875  0.125
Ga  0.000  0.500  0.500
Ga  0.875  0.250  0.625
Ga  0.750  0.625  0.375
Ga  0.500  0.500  0.000
Ga  0.000  0.500  0.000
Ga  0.125  0.375  0.250
Pm  0.231  0.670  0.101
Pm  0.101  0.170  0.231
Pm  0.731  0.130  0.061
Pm  0.170  0.069  0.939
Pm  0.269  0.399  0.830
Pm  0.931  0.830  0.561
Pm  0.069  0.899  0.130
Pm  0.601  0.731  0.670
Pm  0.870  0.269  0.439
Pm  0.370  0.431  0.101
Pm  0.061  0.431  0.830
Pm  0.899  0.069  0.630
Pm  0.569  0.939  0.670
Pm  0.931  0.101  0.870
Pm  0.269  0.870  0.939
Pm  0.170  0.101  0.731
Pm  0.101  0.931  0.370
Pm  0.769  0.330  0.899
Pm  0.870  0.601  0.931
Pm  0.330  0.561  0.431
Pm  0.069  0.170  0.439
Pm  0.330  0.769  0.399
Pm  0.061  0.630  0.731
Pm  0.939  0.370  0.269
Pm  0.231  0.561  0.630
Pm  0.731  0.601  0.170
Pm  0.130  0.399  0.069
Pm  0.601  0.870  0.431
Pm  0.939  0.569  0.170
Pm  0.399  0.130  0.569
Pm  0.569  0.630  0.399
Pm  0.431  0.061  0.330
Pm  0.670  0.439  0.569
Pm  0.830  0.899  0.269
Pm  0.630  0.061  0.231
Pm  0.439  0.769  0.870
Pm  0.431  0.370  0.601
Pm  0.399  0.269  0.330
Pm  0.561  0.330  0.931
Pm  0.439  0.670  0.069
Pm  0.769  0.439  0.370
Pm  0.370  0.939  0.769
Pm  0.561  0.231  0.130
Pm  0.670  0.231  0.601
Pm  0.830  0.931  0.061
Pm  0.130  0.731  0.561
Pm  0.899  0.830  0.769
Pm  0.630  0.569  0.899

---

Record 4
The following is a DFT calculation (PBE) of a geometry-optimized MoPb structure.

Properties
excess energy over the best structure of this formula in the dataset = 510 meV per atom
formation energy = 0.835 eV/atom

Cell: 8.926 14.712 5.418 Å, 90.00 90.00 90.00°
Sites, in units of the cell vectors:
Pb  0.167  0.000  0.500
Pb  0.583  0.250  0.750
Pb  0.417  0.750  0.750
Pb  0.667  0.500  0.500
Pb  0.667  0.000  0.000
Pb  0.083  0.750  0.750
Pb  0.167  0.500  0.000
Pb  0.917  0.750  0.250
Pb  0.333  0.500  0.500
Pb  0.333  0.000  0.000
Pb  0.417  0.250  0.250
Pb  0.833  0.500  0.000
Pb  0.833  0.000  0.500
Pb  0.083  0.250  0.250
Pb  0.917  0.250  0.750
Pb  0.583  0.750  0.250
Mo  0.250  0.167  0.750
Mo  0.750  0.333  0.250
Mo  0.000  0.917  0.000
Mo  0.500  0.417  0.000
Mo  0.500  0.917  0.500
Mo  0.250  0.833  0.250
Mo  0.750  0.167  0.250
Mo  0.000  0.083  0.000
Mo  0.000  0.583  0.500
Mo  0.500  0.583  0.000
Mo  0.250  0.333  0.750
Mo  0.500  0.083  0.500
Mo  0.000  0.417  0.500
Mo  0.750  0.833  0.750
Mo  0.750  0.667  0.750
Mo  0.250  0.667  0.250

---

Record 5
The following is a DFT calculation (PBE) of a geometry-optimized KNdCu2O4 structure.

Properties
formation energy from raw total energies = -1.62 eV per atom

Cell: 3.929 3.929 7.289 Å, 90.00 90.00 90.00°
Sites, in units of the cell vectors:
O  0.500  0.000  0.791
O  0.000  0.500  0.209
O  0.000  0.500  0.791
O  0.500  0.000  0.209
Nd  0.000  0.000  0.000
Cu  0.500  0.500  0.226
Cu  0.500  0.500  0.774
K  0.000  0.000  0.500

---

Record 6
The following is a DFT calculation (PBE) of a geometry-optimized Y2ReSb structure.

Properties
formation energy from raw total energies = -0.25 eV per atom

Cell: 4.462 3.980 5.872 Å, 70.17 90.00 90.00°
Sites, in units of the cell vectors:
Re  0.000  0.703  0.469
Y  0.500  0.266  0.342
Y  0.000  0.977  0.921
Sb  0.500  0.554  0.767

---

Record 7
The following is a DFT calculation (PBE) of a geometry-optimized CsBiPb2 structure.

Properties
formation energy = -0.020 eV/atom

Cell: 5.207 5.207 12.360 Å, 90.00 90.00 90.00°
Sites, in units of the cell vectors:
Pb  0.500  0.000  0.943
Pb  0.500  0.500  0.500
Pb  0.000  0.500  0.057
Pb  0.000  0.000  0.500
Cs  0.000  0.500  0.766
Cs  0.500  0.000  0.234
Bi  0.000  0.500  0.330
Bi  0.500  0.000  0.670

---

Record 8
The following is a DFT calculation (PBE) of a geometry-optimized La2Zn3Ru2 structure.

Properties
excess energy over the best structure of this formula in the dataset = 0 meV per atom
formation energy = -0.304 eV/atom

Cell: 4.128 5.391 7.557 Å, 111.30 90.00 112.51°
Sites, in units of the cell vectors:
Zn  0.500  0.000  0.000
Zn  0.651  0.302  0.446
Zn  0.349  0.698  0.554
Ru  0.125  0.250  0.198
Ru  0.875  0.750  0.802
La  0.863  0.726  0.235
La  0.137  0.274  0.765

---

Record 9
The following is a DFT calculation (PBE) of a geometry-optimized AgPbI2 structure.

Properties
formation energy from raw total energies = -0.10 eV per atom

Cell: 4.131 4.131 10.220 Å, 78.34 78.34 60.00°
Sites, in units of the cell vectors:
I  0.894  0.894  0.318
I  0.106  0.106  0.682
Ag  0.500  0.500  0.500
Pb  0.000  0.000  0.000

---

Record 10
The following is a DFT calculation (PBE) of a geometry-optimized NaThCl2 structure.

Properties
formation energy from raw total energies = -1.29 eV per atom

Cell: 3.800 3.800 9.162 Å, 78.03 78.03 60.00°
Site moments in Bohr magnetons follow the coordinates.
Sites, in units of the cell vectors:
Cl  0.104  0.104  0.688  0.01
Cl  0.896  0.896  0.312  0.01
Na  0.500  0.500  0.500  0.00
Th  0.000  0.000  0.000  0.32

---

Record 11
The following is a DFT calculation (PBE) of a geometry-optimized CsCr2AgAu structure.

Properties
formation energy = 2.105 eV/atom

Cell: 5.428 5.829 5.428 Å, 90.00 90.00 90.00°
Site moments in Bohr magnetons follow the coordinates.
Sites, in units of the cell vectors:
Ag  0.500  0.500  0.500  -0.01
Cr  0.500  0.000  0.000  4.32
Cr  0.000  0.000  0.500  4.34
Cs  0.000  0.000  0.000  0.21
Au  0.000  0.500  0.000  0.05

---

Record 12
The following is a DFT calculation (PBE) of a geometry-optimized Th4GeP2S structure.

Properties
formation energy from raw total energies = -1.44 eV per atom

Cell: 4.166 7.239 7.185 Å, 70.53 90.00 90.00°
Sites, in units of the cell vectors:
P  0.500  0.000  0.500
P  0.000  0.000  0.000
Th  0.000  0.758  0.749
Th  0.000  0.242  0.251
Th  0.500  0.758  0.245
Th  0.500  0.242  0.755
S  0.500  0.500  0.000
Ge  0.000  0.500  0.500